Crystalline FeNiGe at its relaxed geometry. Source: the Alexandria database, functional PBE-GGA.

The structure in CIF format:
```
data_FeNiGe
_cell_length_a 3.785
_cell_length_b 3.276
_cell_length_c 6.124
_cell_angle_alpha 90.00
_cell_angle_beta 99.91
_cell_angle_gamma 90.00
_space_group_name_H-M_alt 'P 1'
_space_group_IT_number 1
loop_
_space_group_symop_operation_xyz
'x,y,z'
loop_
_atom_site_label
_atom_site_type_symbol
_atom_site_fract_x
_atom_site_fract_y
_atom_site_fract_z
Fe1 Fe 0.250 0.250 0.004
Fe2 Fe 0.750 0.750 0.996
Ni1 Ni 0.333 0.750 0.337
Ni2 Ni 0.667 0.250 0.663
Ge1 Ge 0.172 0.750 0.699
Ge2 Ge 0.828 0.250 0.301
```

Output
E_form: -0.164 eV/atom
Calculated total energy: -6.45 eV/atom